Entry 1:
{
  "formula": "AsIr",
  "functional": "meta-GGA SCAN",
  "state": "single point on PBEsol structure",
  "dos_at_fermi_per_ev_atom": 0.654,
  "crystal_system": "tetragonal",
  "space_group": "I4_1/amd (141)",
  "volume_a3_per_cell": 60.09,
  "ef_mev_per_atom": 340.0,
  "final_energy_ev_per_atom": -45.30,
  "lattice": [[3.732, 0.000, 0.000], [0.000, 3.732, 0.000], [-1.866, -1.866, 4.315]],
  "species": ["As", "As", "Ir", "Ir"],
  "fractional_positions": [[0.250, 0.750, 0.500], [0.000, 0.000, 0.000], [0.750, 0.250, 0.500], [0.500, 0.500, 0.000]]
}

***

Entry 2:
{
  "formula": "As3Ir",
  "functional": "meta-GGA SCAN",
  "state": "single point on PBEsol structure",
  "dos_at_fermi_per_ev_atom": 0.366,
  "crystal_system": "orthorhombic",
  "space_group": "Cmcm (63)",
  "volume_a3_per_cell": 148.08,
  "ef_mev_per_atom": 185.0,
  "final_energy_ev_per_atom": -32.73,
  "relative_energy_mev_per_atom": 743,
  "lattice": [[5.267, 0.000, 0.000], [0.000, 5.306, 0.183], [0.000, -0.573, 5.278]],
  "species": ["As", "As", "As", "As", "As", "As", "Ir", "Ir"],
  "fractional_positions": [[0.750, 0.019, 0.981], [0.250, 0.981, 0.019], [0.750, 0.976, 0.513], [0.250, 0.024, 0.487], [0.750, 0.487, 0.024], [0.250, 0.513, 0.976], [0.250, 0.474, 0.526], [0.750, 0.526, 0.474]]
}

***

Entry 3:
{
  "formula": "As3Ir",
  "functional": "meta-GGA SCAN",
  "state": "single point on PBEsol structure",
  "dos_at_fermi_per_ev_atom": 0.643,
  "crystal_system": "trigonal",
  "space_group": "R-3m (166)",
  "volume_a3_per_cell": 66.21,
  "ef_mev_per_atom": 544.8,
  "final_energy_ev_per_atom": -32.37,
  "relative_energy_mev_per_atom": 1103,
  "lattice": [[2.925, 0.000, 0.000], [-0.975, 5.112, 0.000], [-0.975, -2.556, 4.427]],
  "species": ["As", "As", "As", "Ir"],
  "fractional_positions": [[0.500, 0.500, 0.500], [0.000, 0.500, 0.000], [0.000, 0.000, 0.500], [0.500, 0.000, 0.000]]
}